The following is a PBEsol calculation of a relaxed Tl3HgMo crystal, from the Alexandria database.

a b c (Å): 5.495 5.495 5.495
angles (deg): 90.00 90.00 90.00
Element x y z (fractional)
Tl 0.000 0.000 0.500
Tl 0.000 0.500 0.000
Tl 0.500 0.000 0.000
Hg 0.000 0.000 0.000
Mo 0.500 0.500 0.500

Properties
Energy relative to the lowest polymorph listed for this composition: 714 meV per atom
Calculated density: 9.11 Mg/m³
N(E_F): 0.572 states/eV/atom
Magnetic moment: 4.62 μB/f.u.